Here is an optimized crystal structure of Dy2SiNi3 from Alexandria. Energies are from PBE-GGA.

The space group is Pmm2 (No. 25) and the conventional cell measures 3.744, 3.993 and 7.028 Å, with angles of 90.00, 90.00 and 90.00 degrees. The asymmetric unit holds Dy at (0.000, 0.000, 0.000), Dy at (0.000, 0.500, 0.482), Si at (0.500, 0.500, 0.820), Ni at (0.500, 0.000, 0.326), Ni at (0.500, 0.000, 0.663) and Ni at (0.500, 0.500, 0.146).

For the formation energy from raw total energies, the calculation gives -580 meV/atom. Its crystal system is orthorhombic.